Entry 1:
The following is a DFT calculation (PBE-GGA) of a geometry-optimized CeInF4 structure. Values from VASP.

## Properties
The value obtained for the volume is 419.2 Å³/cell. As for the calculated total energy: -5.895 eV per atom. The uncorrected formation energy comes out at -3.202 eV/atom.

The structure in Quantum ESPRESSO input format:
```
&SYSTEM
  ibrav = 0, nat = 24, ntyp = 3
/
ATOMIC_SPECIES
Ce 140.12 Ce.upf
In 114.82 In.upf
F 19.00 F.upf
ATOMIC_POSITIONS angstrom
Ce 1.546 0.949 0.973
Ce 1.615 2.847 9.707
Ce 4.707 0.949 7.761
Ce 4.776 2.847 16.495
In 1.134 2.847 5.307
In 2.027 0.949 14.041
In 4.295 2.847 3.427
In 5.187 0.949 12.160
F 0.074 2.847 7.769
F 0.418 2.847 11.759
F 0.701 2.847 2.170
F 0.864 2.847 16.936
F 2.296 0.949 8.202
F 2.460 0.949 10.904
F 2.743 0.949 3.025
F 3.086 0.949 16.503
F 3.235 2.847 0.965
F 3.579 2.847 14.442
F 3.862 2.847 6.563
F 4.025 2.847 9.265
F 5.457 0.949 0.531
F 5.621 0.949 15.297
F 5.903 0.949 5.708
F 6.247 0.949 9.699
CELL_PARAMETERS angstrom
6.321 0.000 0.000
0.000 3.797 0.000
0.000 0.000 17.468
```

Entry 2:
The following is a DFT calculation (PBE-GGA) of a geometry-optimized BaCdAu4 structure. Values from VASP.

## Properties
The value obtained for the volume is 601.9 Å³/cell. The formation energy is -373 meV per atom. Its offset from the most stable computed form is 0.000 eV per atom. As for the calculated total energy: -3.031 eV per atom.

The structure in Quantum ESPRESSO input format:
```
&SYSTEM
  ibrav = 0, nat = 24, ntyp = 3
/
ATOMIC_SPECIES
Ba 137.33 Ba.upf
Cd 112.41 Cd.upf
Au 196.97 Au.upf
ATOMIC_POSITIONS angstrom
Ba 1.154 2.664 0.000
Ba 3.373 11.473 0.000
Ba 5.681 6.145 0.000
Ba 7.900 14.954 0.000
Cd 1.199 7.260 0.000
Cd 3.328 16.069 0.000
Cd 5.726 1.550 0.000
Cd 7.855 10.359 0.000
Au 0.159 12.266 1.887
Au 1.084 9.683 1.887
Au 1.164 16.971 1.887
Au 1.902 14.286 1.887
Au 2.625 5.477 1.887
Au 3.363 8.162 1.887
Au 3.443 0.874 1.887
Au 4.368 3.457 1.887
Au 4.685 14.161 1.887
Au 5.611 16.744 1.887
Au 5.691 9.456 1.887
Au 6.429 12.141 1.887
Au 7.151 3.332 1.887
Au 7.890 0.647 1.887
Au 7.970 7.935 1.887
Au 8.895 5.352 1.887
CELL_PARAMETERS angstrom
9.054 0.000 0.000
0.000 17.618 0.000
0.000 0.000 3.774
```

Entry 3:
The following is a DFT calculation (PBE-GGA) of a geometry-optimized LaReTc structure. Values from VASP.

## Properties
The value obtained for the volume is 66.5 Å³/cell. The formation energy is 730 meV per atom. Its offset from the most stable computed form is 0.641 eV per atom. As for the calculated total energy: -8.517 eV per atom.

The structure in Quantum ESPRESSO input format:
```
&SYSTEM
  ibrav = 0, nat = 3, ntyp = 3
/
ATOMIC_SPECIES
La 138.91 La.upf
Re 186.21 Re.upf
Tc 98.00 Tc.upf
ATOMIC_POSITIONS angstrom
La 0.000 0.000 0.000
Re 1.607 1.607 1.607
Tc 3.215 3.215 3.215
CELL_PARAMETERS angstrom
0.000 3.215 3.215
3.215 0.000 3.215
3.215 3.215 0.000
```

Entry 4:
The following is a DFT calculation (PBE-GGA) of a geometry-optimized PaH8PtRh2 structure. Values from VASP.

## Properties
The value obtained for the volume is 102.0 Å³/cell. As for the calculated total energy: -4.877 eV per atom.

The structure in Quantum ESPRESSO input format:
```
&SYSTEM
  ibrav = 0, nat = 12, ntyp = 4
/
ATOMIC_SPECIES
Pa 231.04 Pa.upf
H 1.01 H.upf
Pt 195.08 Pt.upf
Rh 102.91 Rh.upf
ATOMIC_POSITIONS angstrom
Pa 0.000 0.000 0.000
H 2.979 1.046 1.440
H 1.084 0.000 2.030
H 4.030 1.046 4.026
H 1.293 0.000 5.358
H 5.717 0.000 0.109
H 2.979 -1.046 1.440
H 5.925 0.000 3.436
H 4.030 -1.046 4.026
Pt 3.505 0.000 2.733
Rh 0.883 0.000 3.739
Rh 6.127 0.000 1.727
CELL_PARAMETERS angstrom
4.564 -2.043 0.000
4.564 2.043 0.000
-2.119 0.000 5.467
```

Entry 5:
The following is a DFT calculation (PBE-GGA) of a geometry-optimized Mg2MnIr2 structure. Values from VASP.

## Properties
The value obtained for the volume is 165.5 Å³/cell. The formation energy is -35 meV per atom. As for the calculated total energy: -6.051 eV per atom.

The structure in Quantum ESPRESSO input format:
```
&SYSTEM
  ibrav = 0, nat = 10, ntyp = 3
/
ATOMIC_SPECIES
Mg 24.30 Mg.upf
Mn 54.94 Mn.upf
Ir 192.22 Ir.upf
ATOMIC_POSITIONS angstrom
Mg 1.075 2.040 0.000
Mg 2.040 5.154 0.000
Mg 4.189 1.075 0.000
Mg 5.154 4.189 0.000
Mn 0.000 0.000 2.133
Mn 3.115 3.115 2.133
Ir 0.869 3.984 2.133
Ir 2.245 0.869 2.133
Ir 3.984 5.360 2.133
Ir 5.360 2.245 2.133
CELL_PARAMETERS angstrom
6.229 0.000 0.000
0.000 6.229 0.000
0.000 0.000 4.265
```

Entry 6:
The following is a DFT calculation (PBE-GGA) of a geometry-optimized HoSbO4 structure. Values from VASP.

## Properties
The value obtained for the volume is 153.2 Å³/cell. As for the calculated total energy: -7.112 eV per atom. The uncorrected formation energy comes out at -2.356 eV/atom.

The structure in Quantum ESPRESSO input format:
```
&SYSTEM
  ibrav = 0, nat = 12, ntyp = 3
/
ATOMIC_SPECIES
Ho 164.93 Ho.upf
Sb 121.76 Sb.upf
O 16.00 O.upf
ATOMIC_POSITIONS angstrom
Ho 0.000 1.310 1.395
Ho 2.620 1.310 4.185
Sb 2.620 1.310 -1.395
Sb 0.000 1.310 6.974
O 1.285 0.345 -0.396
O 1.655 0.025 2.394
O 1.655 2.645 -2.394
O 1.335 -0.345 5.184
O 1.285 2.965 0.396
O 0.965 -0.025 7.973
O 0.965 2.595 3.185
O 1.335 2.275 5.975
CELL_PARAMETERS angstrom
-2.620 2.620 5.579
2.620 -2.620 5.579
2.620 2.620 -5.579
```

Entry 7:
The following is a DFT calculation (PBE-GGA) of a geometry-optimized ErThFe10 structure. Values from VASP.

## Properties
The value obtained for the volume is 173.8 Å³/cell. The formation energy is -56 meV per atom. As for the calculated total energy: -8.106 eV per atom.

The structure in Quantum ESPRESSO input format:
```
&SYSTEM
  ibrav = 0, nat = 12, ntyp = 3
/
ATOMIC_SPECIES
Er 167.26 Er.upf
Th 232.04 Th.upf
Fe 55.84 Fe.upf
ATOMIC_POSITIONS angstrom
Er 0.000 0.000 0.000
Th 0.000 2.511 4.341
Fe 0.000 0.000 2.865
Fe 0.000 0.000 5.818
Fe 0.000 2.511 1.416
Fe 0.000 2.511 7.266
Fe 1.992 0.000 4.341
Fe 1.992 1.245 2.128
Fe 1.992 1.245 6.554
Fe 1.992 2.511 0.000
Fe 1.992 3.778 2.128
Fe 1.992 3.778 6.554
CELL_PARAMETERS angstrom
3.985 0.000 0.000
0.000 5.023 0.000
0.000 0.000 8.682
```

Entry 8:
The following is a DFT calculation (PBE-GGA) of a geometry-optimized NaNbPdBr2 structure. Values from VASP.

## Properties
The value obtained for the volume is 142.0 Å³/cell. As for the calculated total energy: -3.025 eV per atom. The uncorrected formation energy comes out at 0.961 eV/atom.

The structure in Quantum ESPRESSO input format:
```
&SYSTEM
  ibrav = 0, nat = 5, ntyp = 4
/
ATOMIC_SPECIES
Na 22.99 Na.upf
Nb 92.91 Nb.upf
Pd 106.42 Pd.upf
Br 79.90 Br.upf
ATOMIC_POSITIONS angstrom
Na 0.000 0.000 0.000
Nb 0.000 0.000 2.776
Pd 2.529 2.529 2.776
Br 0.000 2.529 0.000
Br 2.529 0.000 0.000
CELL_PARAMETERS angstrom
5.057 0.000 0.000
0.000 5.057 0.000
0.000 0.000 5.553
```

Entry 9:
The following is a DFT calculation (PBE-GGA) of a geometry-optimized ErTm3Sb2 structure. Values from VASP.

## Properties
The value obtained for the volume is 335.9 Å³/cell. Its offset from the most stable computed form is 0.114 eV per atom. As for the calculated total energy: -5.008 eV per atom. The uncorrected formation energy comes out at -0.637 eV/atom.

The structure in Quantum ESPRESSO input format:
```
&SYSTEM
  ibrav = 0, nat = 12, ntyp = 3
/
ATOMIC_SPECIES
Er 167.26 Er.upf
Tm 168.93 Tm.upf
Sb 121.76 Sb.upf
ATOMIC_POSITIONS angstrom
Er 1.533 0.000 0.995
Er 12.560 0.000 7.850
Tm -1.600 0.000 5.960
Tm 5.181 0.000 0.955
Tm 4.404 0.000 4.622
Tm 9.689 0.000 4.223
Tm 8.911 0.000 7.890
Tm 15.693 0.000 2.884
Sb 1.729 0.000 6.373
Sb 8.218 0.000 1.370
Sb 5.875 0.000 7.475
Sb 12.364 0.000 2.472
CELL_PARAMETERS angstrom
8.975 -2.116 0.000
8.975 2.116 0.000
-3.857 0.000 8.845
```

Entry 10:
The following is a DFT calculation (PBE-GGA) of a geometry-optimized Ce2TcRu structure. Values from VASP.

## Properties
The value obtained for the volume is 163.7 Å³/cell. The formation energy is -215 meV per atom. As for the calculated total energy: -8.093 eV per atom.

The structure in Quantum ESPRESSO input format:
```
&SYSTEM
  ibrav = 0, nat = 8, ntyp = 3
/
ATOMIC_SPECIES
Ce 140.12 Ce.upf
Tc 98.00 Tc.upf
Ru 101.07 Ru.upf
ATOMIC_POSITIONS angstrom
Ce -0.009 0.152 2.363
Ce 1.390 2.981 6.386
Ce 1.464 3.369 1.682
Ce 2.862 6.198 5.706
Tc 0.514 4.412 4.317
Tc 2.339 1.938 3.752
Ru 0.658 5.191 0.234
Ru 2.195 1.159 7.834
CELL_PARAMETERS angstrom
3.144 0.000 0.000
-0.275 6.452 0.000
-0.016 -0.103 8.068
```

Entry 11:
The following is a DFT calculation (PBE-GGA) of a geometry-optimized BaTl2InSe4 structure. Values from VASP.

## Properties
The value obtained for the volume is 492.8 Å³/cell. As for the calculated total energy: -3.658 eV per atom. The uncorrected formation energy comes out at -0.741 eV/atom.

The structure in Quantum ESPRESSO input format:
```
&SYSTEM
  ibrav = 0, nat = 16, ntyp = 4
/
ATOMIC_SPECIES
Ba 137.33 Ba.upf
Tl 204.38 Tl.upf
In 114.82 In.upf
Se 78.96 Se.upf
ATOMIC_POSITIONS angstrom
Ba 0.000 0.000 0.000
Ba 0.000 4.629 0.000
Tl 4.239 0.000 0.000
Tl -2.119 2.314 3.139
Tl 0.000 0.000 6.279
Tl 2.119 2.314 3.139
In 2.119 2.314 -3.139
In 2.119 -2.314 3.139
Se 4.239 -0.382 3.063
Se 4.239 4.247 -3.063
Se 2.230 2.314 -0.251
Se 6.247 2.314 -0.251
Se -2.009 2.314 6.530
Se 2.009 2.314 6.530
Se 0.000 0.382 9.342
Se 0.000 5.011 3.215
CELL_PARAMETERS angstrom
-4.239 4.629 6.279
4.239 -4.629 6.279
4.239 4.629 -6.279
```

Entry 12:
The following is a DFT calculation (PBE-GGA) of a geometry-optimized KLaTe2 structure. Values from VASP.

## Properties
The value obtained for the volume is 160.2 Å³/cell. As for the calculated total energy: -4.554 eV per atom. The uncorrected formation energy comes out at -1.477 eV/atom.

The structure in Quantum ESPRESSO input format:
```
&SYSTEM
  ibrav = 0, nat = 4, ntyp = 3
/
ATOMIC_SPECIES
K 39.10 K.upf
La 138.91 La.upf
Te 127.60 Te.upf
ATOMIC_POSITIONS angstrom
K 0.000 0.000 0.000
La 0.000 0.000 21.004
Te 0.000 0.000 5.950
Te 0.000 0.000 10.773
CELL_PARAMETERS angstrom
2.342 1.352 8.432
-2.342 1.352 8.432
0.000 -2.704 8.432
```

Look up the volume of the tenth one. 163.7 Å³/cell

What is the volume in the eleventh record? 492.8 Å³/cell

Please write out number 2 again, unchanged.
The following is a DFT calculation (PBE-GGA) of a geometry-optimized BaCdAu4 structure. Values from VASP.

## Properties
The value obtained for the volume is 601.9 Å³/cell. The formation energy is -373 meV per atom. Its offset from the most stable computed form is 0.000 eV per atom. As for the calculated total energy: -3.031 eV per atom.

The structure in Quantum ESPRESSO input format:
```
&SYSTEM
  ibrav = 0, nat = 24, ntyp = 3
/
ATOMIC_SPECIES
Ba 137.33 Ba.upf
Cd 112.41 Cd.upf
Au 196.97 Au.upf
ATOMIC_POSITIONS angstrom
Ba 1.154 2.664 0.000
Ba 3.373 11.473 0.000
Ba 5.681 6.145 0.000
Ba 7.900 14.954 0.000
Cd 1.199 7.260 0.000
Cd 3.328 16.069 0.000
Cd 5.726 1.550 0.000
Cd 7.855 10.359 0.000
Au 0.159 12.266 1.887
Au 1.084 9.683 1.887
Au 1.164 16.971 1.887
Au 1.902 14.286 1.887
Au 2.625 5.477 1.887
Au 3.363 8.162 1.887
Au 3.443 0.874 1.887
Au 4.368 3.457 1.887
Au 4.685 14.161 1.887
Au 5.611 16.744 1.887
Au 5.691 9.456 1.887
Au 6.429 12.141 1.887
Au 7.151 3.332 1.887
Au 7.890 0.647 1.887
Au 7.970 7.935 1.887
Au 8.895 5.352 1.887
CELL_PARAMETERS angstrom
9.054 0.000 0.000
0.000 17.618 0.000
0.000 0.000 3.774
```

Copy entry 11 word for word.
The following is a DFT calculation (PBE-GGA) of a geometry-optimized BaTl2InSe4 structure. Values from VASP.

## Properties
The value obtained for the volume is 492.8 Å³/cell. As for the calculated total energy: -3.658 eV per atom. The uncorrected formation energy comes out at -0.741 eV/atom.

The structure in Quantum ESPRESSO input format:
```
&SYSTEM
  ibrav = 0, nat = 16, ntyp = 4
/
ATOMIC_SPECIES
Ba 137.33 Ba.upf
Tl 204.38 Tl.upf
In 114.82 In.upf
Se 78.96 Se.upf
ATOMIC_POSITIONS angstrom
Ba 0.000 0.000 0.000
Ba 0.000 4.629 0.000
Tl 4.239 0.000 0.000
Tl -2.119 2.314 3.139
Tl 0.000 0.000 6.279
Tl 2.119 2.314 3.139
In 2.119 2.314 -3.139
In 2.119 -2.314 3.139
Se 4.239 -0.382 3.063
Se 4.239 4.247 -3.063
Se 2.230 2.314 -0.251
Se 6.247 2.314 -0.251
Se -2.009 2.314 6.530
Se 2.009 2.314 6.530
Se 0.000 0.382 9.342
Se 0.000 5.011 3.215
CELL_PARAMETERS angstrom
-4.239 4.629 6.279
4.239 -4.629 6.279
4.239 4.629 -6.279
```